# 1
Entry from the Alexandria database: crystalline Ho2CoWN5 at its relaxed geometry (PBE).

abc: 3.1584 13.5358 9.8045
angles: 90.00 90.00 90.00
Closest atoms and distances in Å follow each position.
Space group Cmc2_1 (No. 36)
Unique sites:
Ho  0.0000  0.1121  0.0000 x4  8 N 2.36-2.56
Ho  0.0000  0.1271  0.6266 x4  6 N 2.35-2.44
Co  0.0000  0.4521  0.7608 x4  4 N 1.80-1.92
W  0.0000  0.2043  0.3312 x4  3 N 1.89-2.09
N  0.0000  0.0386  0.3476 x4  2 Co 1.80
N  0.0000  0.2942  0.9712 x4  2 W 2.09
N  0.0000  0.3212  0.6844 x4  1 Co 1.92
N  0.0000  0.3436  0.3121 x4  1 W 1.89
N  0.0000  0.4985  0.0862 x4  1 Co 1.84

Output
DOS at the Fermi energy: 0.27 states/eV/atom



# 2
Entry from the Alexandria database: crystalline Sr2TaHgSb at its relaxed geometry (PBE).

abc: 5.9955 5.9955 5.2466
angles: 90.00 90.00 90.00
Closest atoms and distances in Å follow each position.
Space group P4/mmm (No. 123)
Unique sites:
Sr  0.0000  0.5000  0.0000 x2  2 Ta 3.00
Ta  0.0000  0.0000  0.0000 x1  2 Hg 2.62
Hg  0.0000  0.0000  0.5000 x1  2 Ta 2.62
Sb  0.5000  0.5000  0.5000 x1  8 Sr 3.98, 4 Hg 4.24

Output
DOS at the Fermi energy: 1.52 states/eV/atom



# 3
Entry from the Alexandria database: crystalline CsInO at its relaxed geometry (PBE).

abc: 3.5644 5.9396 7.5747
angles: 89.98 76.43 89.81
Closest atoms and distances in Å follow each position.
Space group P-1 (No. 2)
Unique sites:
Cs  0.1862  0.2499  0.1291 x2  4 O 3.04-3.13
In  0.4520  0.2499  0.5959 x2  2 O 2.23-2.24
O  0.1391  0.7501  0.2209 x2  2 In 2.23-2.24

Output
DOS at the Fermi energy: 0.14 states/eV/atom



Summary of formation energy (no corrections) in eV/atom
-0.75 0.79 -1.01
(order as listed above)
Summary of total moment in μB/cell
0.0 0.6 0.0
(order as listed above)
Summary of total DFT energy (no corrections) in eV/atom
-8.620 -3.136 -3.859
(order as listed above)